one.
This record from Alexandria describes crystalline BaCd2Br at its relaxed geometry. The functional is GGA-PBEsol.

As for the mass density: 5.88 g cm⁻³. The calculation puts the calculated volume at 31.20 Å³ per atom. Its space group is Fm-3m, No. 225. Its spin magnetization is 0.0 μB per cell.

Lattice parameters (Å, degrees): 7.9325 7.9325 7.9325 90.00 90.00 90.00
Last column: nearest neighbours and their distance in Å.
Positions (direct):
Ba1 0.0000 0.0000 0.0000  8 Cd 3.43
Ba2 0.0000 0.5000 0.5000  8 Cd 3.43
Ba3 0.5000 0.0000 0.5000  8 Cd 3.43
Ba4 0.5000 0.5000 0.0000  8 Cd 3.43
Cd1 0.2500 0.2500 0.2500  4 Ba 3.43, 4 Br 3.43
Cd2 0.2500 0.2500 0.7500  4 Ba 3.43, 4 Br 3.43
Cd3 0.2500 0.7500 0.2500  4 Ba 3.43, 4 Br 3.43
Cd4 0.2500 0.7500 0.7500  4 Ba 3.43, 4 Br 3.43
Cd5 0.7500 0.2500 0.2500  4 Ba 3.43, 4 Br 3.43
Cd6 0.7500 0.2500 0.7500  4 Ba 3.43, 4 Br 3.43
Cd7 0.7500 0.7500 0.2500  4 Ba 3.43, 4 Br 3.43
Cd8 0.7500 0.7500 0.7500  4 Ba 3.43, 4 Br 3.43
Br1 0.0000 0.0000 0.5000  8 Cd 3.43
Br2 0.0000 0.5000 0.0000  8 Cd 3.43
Br3 0.5000 0.0000 0.0000  8 Cd 3.43
Br4 0.5000 0.5000 0.5000  8 Cd 3.43

***

two.
This record from Alexandria describes crystalline BaCd2Br at its relaxed geometry. The functional is GGA-PBEsol.

As for the mass density: 5.42 g cm⁻³. The calculation puts the calculated volume at 33.88 Å³ per atom. Its space group is P4/mmm, No. 123. Its spin magnetization is 0.0 μB per cell.

Lattice parameters (Å, degrees): 4.6735 4.6735 6.2039 90.00 90.00 90.00
Last column: nearest neighbours and their distance in Å.
Positions (direct):
Ba1 0.0000 0.0000 0.0000  2 Br 3.10
Cd1 0.5000 0.5000 0.2659  1 Cd 2.90
Cd2 0.5000 0.5000 0.7341  1 Cd 2.90
Br1 0.0000 0.0000 0.5000  2 Ba 3.10

***

Stability summary - winner: two; margin: 12.8 kJ/mol of atoms.

***

one.
This record from Alexandria describes crystalline BaCo2Br at its relaxed geometry. The functional is GGA-PBEsol.

As for the mass density: 5.68 g cm⁻³. The calculation puts the calculated volume at 24.48 Å³ per atom. Its space group is I4/mmm, No. 139. Its spin magnetization is 7.4 μB per cell.

Lattice parameters (Å, degrees): 4.1579 4.1579 11.3281 90.00 90.00 90.00
Last column: nearest neighbours and their distance in Å.
Positions (direct):
Ba1 0.0000 0.0000 0.0000  4 Br 2.94
Ba2 0.5000 0.5000 0.5000  4 Br 2.94
Co1 0.0000 0.5000 0.2500  4 Co 2.94
Co2 0.0000 0.5000 0.7500  4 Co 2.94
Co3 0.5000 0.0000 0.2500  4 Co 2.94
Co4 0.5000 0.0000 0.7500  4 Co 2.94
Br1 0.0000 0.0000 0.5000  4 Ba 2.94
Br2 0.5000 0.5000 0.0000  4 Ba 2.94

***

two.
This record from Alexandria describes crystalline BaCo2Br at its relaxed geometry. The functional is GGA-PBEsol.

As for the mass density: 6.10 g cm⁻³. The calculation puts the calculated volume at 22.81 Å³ per atom. Its space group is Pmmm, No. 47. Its spin magnetization is 3.4 μB per cell.

Lattice parameters (Å, degrees): 3.5954 4.7259 5.3688 90.00 90.00 90.00
Last column: nearest neighbours and their distance in Å.
Positions (direct):
Ba1 0.0000 0.0000 0.0000  4 Br 2.97, 4 Co 3.23
Co1 0.0000 0.5000 0.5000  4 Co 2.97, 4 Br 3.23
Co2 0.5000 0.0000 0.5000  4 Co 2.97, 4 Ba 3.23
Br1 0.5000 0.5000 0.0000  4 Ba 2.97, 4 Co 3.23

***

Stability summary - winner: two; margin: 2.4 kJ/mol of atoms.

***

one.
This record from Alexandria describes crystalline Ba2CoBr at its relaxed geometry. The functional is GGA-PBEsol.

As for the mass density: 4.92 g cm⁻³. The calculation puts the calculated volume at 34.92 Å³ per atom. Its space group is I-42d, No. 122. Its spin magnetization is 0.5 μB per cell.

Lattice parameters (Å, degrees): 7.8902 7.8902 8.9753 90.00 90.00 90.00
Last column: nearest neighbours and their distance in Å.
Positions (direct):
Ba1 0.1985 0.2500 0.1250  2 Co 2.76
Ba2 0.2500 0.6985 0.3750  2 Co 2.76
Ba3 0.2500 0.8015 0.8750  2 Co 2.76
Ba4 0.3015 0.2500 0.6250  2 Co 2.76
Ba5 0.6985 0.7500 0.6250  2 Co 2.76
Ba6 0.7500 0.1985 0.8750  2 Co 2.76
Ba7 0.7500 0.3015 0.3750  2 Co 2.76
Ba8 0.8015 0.7500 0.1250  2 Co 2.76
Co1 0.0000 0.0000 0.0000  4 Ba 2.76
Co2 0.0000 0.5000 0.2500  4 Ba 2.76
Co3 0.5000 0.0000 0.7500  4 Ba 2.76
Co4 0.5000 0.5000 0.5000  4 Ba 2.76
Br1 0.0000 0.0000 0.5000  4 Ba 3.29
Br2 0.0000 0.5000 0.7500  4 Ba 3.29
Br3 0.5000 0.0000 0.2500  4 Ba 3.29
Br4 0.5000 0.5000 0.0000  4 Ba 3.29

***

two.
This record from Alexandria describes crystalline Ba2CoBr at its relaxed geometry. The functional is GGA-PBEsol.

As for the mass density: 5.31 g cm⁻³. The calculation puts the calculated volume at 32.31 Å³ per atom. Its space group is Imm2, No. 44. Its spin magnetization is 0.4 μB per cell.

Lattice parameters (Å, degrees): 3.9241 3.9551 16.6567 90.00 90.00 90.00
Last column: nearest neighbours and their distance in Å.
Positions (direct):
Ba1 0.0000 0.0000 0.0000  4 Co 3.15, 2 Br 3.43
Ba2 0.0000 0.5000 0.2167  2 Co 2.90
Ba3 0.5000 0.0000 0.7167  2 Co 2.90
Ba4 0.5000 0.5000 0.5000  4 Co 3.15, 2 Br 3.43
Co1 0.0000 0.0000 0.5888  6 Ba 2.90-3.15
Co2 0.5000 0.5000 0.0888  6 Ba 2.90-3.15
Br1 0.0000 0.5000 0.8317  6 Ba 3.38-3.43
Br2 0.5000 0.0000 0.3317  6 Ba 3.38-3.43

***

Stability summary - winner: two; margin: 9.2 kJ/mol of atoms.

***

one.
This record from Alexandria describes crystalline Ba2CoBr at its relaxed geometry. The functional is GGA-PBEsol.

As for the mass density: 5.11 g cm⁻³. The calculation puts the calculated volume at 33.58 Å³ per atom. Its space group is C2/m, No. 12. Its spin magnetization is 0.8 μB per cell.

Lattice parameters (Å, degrees): 7.4645 4.3484 8.6560 90.00 107.05 90.00
Last column: nearest neighbours and their distance in Å.
Positions (direct):
Ba1 0.2381 0.0000 0.2167  3 Co 3.07-3.08, 3 Br 3.42-3.43
Ba2 0.2619 0.5000 0.7833  3 Co 3.07-3.08, 3 Br 3.42-3.43
Ba3 0.7381 0.5000 0.2167  3 Co 3.07-3.08, 3 Br 3.42-3.43
Ba4 0.7619 0.0000 0.7833  3 Co 3.07-3.08, 3 Br 3.42-3.43
Co1 0.0000 0.5000 0.0000  6 Ba 3.07-3.08
Co2 0.5000 0.0000 0.0000  6 Ba 3.07-3.08
Br1 0.0000 0.0000 0.5000  6 Ba 3.42-3.43
Br2 0.5000 0.5000 0.5000  6 Ba 3.42-3.43

***

two.
This record from Alexandria describes crystalline Ba2CoBr at its relaxed geometry. The functional is GGA-PBEsol.

As for the mass density: 5.91 g cm⁻³. The calculation puts the calculated volume at 29.06 Å³ per atom. Its space group is P2/m, No. 10. Its spin magnetization is 0.2 μB per cell.

Lattice parameters (Å, degrees): 3.7556 3.7556 8.2405 90.00 90.01 90.00
Last column: nearest neighbours and their distance in Å.
Positions (direct):
Ba1 0.0017 0.0000 0.2178  4 Co 3.20-3.21, 4 Br 3.53
Ba2 0.9983 0.0000 0.7822  4 Co 3.20-3.21, 4 Br 3.53
Co1 0.5000 0.5000 0.0000  8 Ba 3.20-3.21
Br1 0.5000 0.5000 0.5000  8 Ba 3.53, 4 Br 3.76

***

Stability summary - winner: two; margin: 1.7 kJ/mol of atoms.

***

one.
This record from Alexandria describes crystalline BaCu2Br at its relaxed geometry. The functional is GGA-PBEsol.

As for the mass density: 5.89 g cm⁻³. The calculation puts the calculated volume at 24.28 Å³ per atom. Its space group is F-43m, No. 216. Its spin magnetization is 0.0 μB per cell.

Lattice parameters (Å, degrees): 7.2962 7.2962 7.2962 90.00 90.00 90.00
Last column: nearest neighbours and their distance in Å.
Positions (direct):
Ba1 0.0000 0.0000 0.0000  4 Cu 3.16, 4 Br 3.16
Ba2 0.0000 0.5000 0.5000  4 Cu 3.16, 4 Br 3.16
Ba3 0.5000 0.0000 0.5000  4 Cu 3.16, 4 Br 3.16
Ba4 0.5000 0.5000 0.0000  4 Cu 3.16, 4 Br 3.16
Cu1 0.0000 0.0000 0.5000  4 Br 3.16, 4 Cu 3.16
Cu2 0.0000 0.5000 0.0000  4 Br 3.16, 4 Cu 3.16
Cu3 0.2500 0.2500 0.7500  4 Cu 3.16, 4 Ba 3.16
Cu4 0.2500 0.7500 0.2500  4 Cu 3.16, 4 Ba 3.16
Cu5 0.5000 0.0000 0.0000  4 Br 3.16, 4 Cu 3.16
Cu6 0.5000 0.5000 0.5000  4 Br 3.16, 4 Cu 3.16
Cu7 0.7500 0.2500 0.2500  4 Cu 3.16, 4 Ba 3.16
Cu8 0.7500 0.7500 0.7500  4 Cu 3.16, 4 Ba 3.16
Br1 0.2500 0.2500 0.2500  4 Ba 3.16, 4 Cu 3.16
Br2 0.2500 0.7500 0.7500  4 Ba 3.16, 4 Cu 3.16
Br3 0.7500 0.2500 0.7500  4 Ba 3.16, 4 Cu 3.16
Br4 0.7500 0.7500 0.2500  4 Ba 3.16, 4 Cu 3.16

***

two.
This record from Alexandria describes crystalline BaCu2Br at its relaxed geometry. The functional is GGA-PBEsol.

As for the mass density: 4.96 g cm⁻³. The calculation puts the calculated volume at 28.81 Å³ per atom. Its space group is C2/m, No. 12. Its spin magnetization is 0.0 μB per cell.

Lattice parameters (Å, degrees): 11.3047 4.3355 4.9228 90.00 107.23 90.00
Last column: nearest neighbours and their distance in Å.
Positions (direct):
Ba1 0.0000 0.0000 0.0000  6 Cu 3.14-3.35, 4 Br 3.28
Ba2 0.5000 0.5000 0.0000  6 Cu 3.14-3.35, 4 Br 3.28
Cu1 0.2143 0.5000 0.9252  2 Cu 2.35
Cu2 0.2857 0.0000 0.0748  2 Cu 2.35
Cu3 0.7143 0.0000 0.9252  2 Cu 2.35
Cu4 0.7857 0.5000 0.0748  2 Cu 2.35
Br1 0.0000 0.5000 0.5000  2 Cu 2.69
Br2 0.5000 0.0000 0.5000  2 Cu 2.69

***

three.
This record from Alexandria describes crystalline BaCu2Br at its relaxed geometry. The functional is GGA-PBEsol.

As for the mass density: 5.73 g cm⁻³. The calculation puts the calculated volume at 24.96 Å³ per atom. Its space group is Pmmm, No. 47. Its spin magnetization is 0.0 μB per cell.

Lattice parameters (Å, degrees): 4.2630 4.8058 4.8740 90.00 90.00 90.00
Last column: nearest neighbours and their distance in Å.
Positions (direct):
Ba1 0.0000 0.0000 0.0000  4 Br 3.24, 8 Cu 3.42
Cu1 0.5000 0.5000 0.2431  2 Cu 2.37-2.50
Cu2 0.5000 0.5000 0.7569  2 Cu 2.37-2.50
Br1 0.5000 0.0000 0.5000  4 Cu 2.71

***

Stability summary - winner: two; margin: 0.6 kJ/mol of atoms.

***

one.
This record from Alexandria describes crystalline Ba2CuBr at its relaxed geometry. The functional is GGA-PBEsol.

As for the mass density: 4.80 g cm⁻³. The calculation puts the calculated volume at 36.17 Å³ per atom. Its space group is R-3m, No. 166. Its spin magnetization is 0.0 μB per cell.

Lattice parameters (Å, degrees): 4.4837 4.4837 24.9272 90.00 90.00 120.00
Last column: nearest neighbours and their distance in Å.
Positions (direct):
Ba1 0.0000 0.0000 0.2403  3 Cu 3.17, 3 Br 3.48
Ba2 0.0000 0.0000 0.7597  3 Cu 3.17, 3 Br 3.48
Ba3 0.3333 0.6667 0.4263  3 Cu 3.17, 3 Br 3.48
Ba4 0.3333 0.6667 0.9070  3 Cu 3.17, 3 Br 3.48
Ba5 0.6667 0.3333 0.0930  3 Cu 3.17, 3 Br 3.48
Ba6 0.6667 0.3333 0.5737  3 Cu 3.17, 3 Br 3.48
Cu1 0.0000 0.0000 0.5000  6 Ba 3.17
Cu2 0.3333 0.6667 0.1667  6 Ba 3.17
Cu3 0.6667 0.3333 0.8333  6 Ba 3.17
Br1 0.0000 0.0000 0.0000  6 Ba 3.48
Br2 0.3333 0.6667 0.6667  6 Ba 3.48
Br3 0.6667 0.3333 0.3333  6 Ba 3.48

***

two.
This record from Alexandria describes crystalline Ba2CuBr at its relaxed geometry. The functional is GGA-PBEsol.

As for the mass density: 5.57 g cm⁻³. The calculation puts the calculated volume at 31.18 Å³ per atom. Its space group is Fm-3m, No. 225. Its spin magnetization is 0.1 μB per cell.

Lattice parameters (Å, degrees): 7.9310 7.9310 7.9310 90.00 90.00 90.00
Last column: nearest neighbours and their distance in Å.
Positions (direct):
Ba1 0.2500 0.2500 0.2500  4 Br 3.43, 4 Cu 3.43
Ba2 0.2500 0.2500 0.7500  4 Br 3.43, 4 Cu 3.43
Ba3 0.2500 0.7500 0.2500  4 Br 3.43, 4 Cu 3.43
Ba4 0.2500 0.7500 0.7500  4 Br 3.43, 4 Cu 3.43
Ba5 0.7500 0.2500 0.2500  4 Br 3.43, 4 Cu 3.43
Ba6 0.7500 0.2500 0.7500  4 Br 3.43, 4 Cu 3.43
Ba7 0.7500 0.7500 0.2500  4 Br 3.43, 4 Cu 3.43
Ba8 0.7500 0.7500 0.7500  4 Br 3.43, 4 Cu 3.43
Cu1 0.0000 0.0000 0.0000  8 Ba 3.43
Cu2 0.0000 0.5000 0.5000  8 Ba 3.43
Cu3 0.5000 0.0000 0.5000  8 Ba 3.43
Cu4 0.5000 0.5000 0.0000  8 Ba 3.43
Br1 0.0000 0.0000 0.5000  8 Ba 3.43
Br2 0.0000 0.5000 0.0000  8 Ba 3.43
Br3 0.5000 0.0000 0.0000  8 Ba 3.43
Br4 0.5000 0.5000 0.5000  8 Ba 3.43

***

Stability summary - winner: one; margin: 17.4 kJ/mol of atoms.